[1]
Below is a crystal of Sr2TaInRh relaxed with PBEsol, with properties calculated at the meta-GGA SCAN level.

Lattice parameters (Å, degrees): 5.1463 5.8512 5.8512 90.00 90.00 90.00
Fractional positions:
1 Sr 0.0000 0.5000 0.0000
2 Sr 0.0000 0.0000 0.5000
3 Ta 0.5000 0.0000 0.0000
4 In 0.0000 0.0000 0.0000
5 Rh 0.5000 0.5000 0.5000

Computed properties:
Energy of formation from the pure elements: 1325 meV/atom
Electronic total energy: -2.5234 Ry per atom
Crystal system: tetragonal

=====

[2]
Below is a crystal of Ta2InRh2 relaxed with PBEsol, with properties calculated at the meta-GGA SCAN level.

Lattice parameters (Å, degrees): 4.3009 4.3009 5.9703 111.11 111.11 90.00
Fractional positions:
1 In 0.0000 0.0000 0.0000
2 Ta 0.2500 0.7500 0.5000
3 Ta 0.7500 0.2500 0.5000
4 Rh 0.3794 0.3794 0.7589
5 Rh 0.6206 0.6206 0.2411

Computed properties:
Energy of formation from the pure elements: -204 meV/atom
Electronic total energy: -3.4561 Ry per atom
Relative energy among the computed polymorphs: 21.1 kJ per mole of atoms
Crystal system: tetragonal

=====

[3]
Below is a crystal of Ta2InRh2 relaxed with PBEsol, with properties calculated at the meta-GGA SCAN level.

Lattice parameters (Å, degrees): 2.9258 7.5787 7.5787 90.00 90.00 90.00
Fractional positions:
1 Rh 0.0000 0.3709 0.8709
2 Rh 0.0000 0.6291 0.1291
3 Rh 0.0000 0.8709 0.6291
4 Rh 0.0000 0.1291 0.3709
5 Ta 0.5000 0.1640 0.6640
6 Ta 0.5000 0.3360 0.1640
7 Ta 0.5000 0.6640 0.8360
8 Ta 0.5000 0.8360 0.3360
9 In 0.0000 0.5000 0.5000
10 In 0.0000 0.0000 0.0000

Computed properties:
Energy of formation from the pure elements: -422 meV/atom
Electronic total energy: -3.4722 Ry per atom
Relative energy among the computed polymorphs: 0.0 kJ per mole of atoms
Crystal system: tetragonal